# Ta4Fe2N (meta-GGA SCAN, single point on PBEsol structure)
data_Ta4Fe2N
_chemical_formula_sum 'Ta16 Fe8 N4'
_space_group_name_H-M_alt 'P 1'
_space_group_IT_number 1
_space_group_name_Hall 'P 1'
_cell_length_a 8.117
_cell_length_b 8.117
_cell_length_c 8.117
_cell_angle_alpha 60.00
_cell_angle_beta 60.00
_cell_angle_gamma 60.00
loop_
_atom_site_label
_atom_site_fract_x
_atom_site_fract_y
_atom_site_fract_z
Ta1 0.125 0.125 0.125
Ta2 0.125 0.125 0.625
Ta3 0.125 0.625 0.125
Ta4 0.625 0.125 0.125
Ta5 0.688 0.688 0.312
Ta6 0.312 0.312 0.688
Ta7 0.688 0.312 0.688
Ta8 0.312 0.688 0.312
Ta9 0.688 0.312 0.312
Ta10 0.312 0.688 0.688
Ta11 0.562 0.562 0.938
Ta12 0.938 0.938 0.562
Ta13 0.562 0.938 0.562
Ta14 0.938 0.562 0.938
Ta15 0.562 0.938 0.938
Ta16 0.938 0.562 0.562
Fe1 0.912 0.912 0.912
Fe2 0.912 0.912 0.263
Fe3 0.912 0.263 0.912
Fe4 0.263 0.912 0.912
Fe5 0.338 0.338 0.338
Fe6 0.338 0.338 0.987
Fe7 0.338 0.987 0.338
Fe8 0.987 0.338 0.338
N1 0.625 0.625 0.625
N2 0.625 0.625 0.125
N3 0.625 0.125 0.625
N4 0.125 0.625 0.625
# **Symmetry**: No. 227
# **Uncorrected formation energy**: -464 meV/atom
# **Total magnetic moment**: 0.00 μB per formula unit
# **Total DFT energy (no corrections)**: -45.019 eV/atom